[1]
The following is a SCAN calculation of a PBEsol-optimized structure of BeAl2Cr, from Alexandria.

The structure in extended XYZ format:
```
4
Lattice="-1.745 1.745 3.958 1.745 -1.745 3.958 1.745 1.745 -3.958" Properties=species:S:1:pos:R:3 pbc="T T T"
Be 0.000 0.000 0.000
Al 0.000 0.000 3.958
Al 0.000 1.745 1.979
Cr 1.745 0.000 1.979
```

## Properties
Total magnetization ... 0.0 Bohr magnetons per cell
Total energy ... -38.7 eV per cell
N(E_F) ... 0.59 states/eV/f.u.

---

[2]
The following is a SCAN calculation of a PBEsol-optimized structure of BeAlCr2, from Alexandria.

The structure in extended XYZ format:
```
4
Lattice="4.049 0.000 0.000 0.000 4.049 0.000 0.000 0.000 2.914" Properties=species:S:1:pos:R:3 pbc="T T T"
Be 0.000 0.000 0.000
Al 2.024 2.024 0.000
Cr 0.000 2.024 1.457
Cr 2.024 0.000 1.457
```

## Properties
Total magnetization ... 5.9 Bohr magnetons per cell
Total energy ... -49.1 eV per cell
N(E_F) ... 1.61 states/eV/f.u.

---

[3]
The following is a SCAN calculation of a PBEsol-optimized structure of Be2AlCr, from Alexandria.

The structure in extended XYZ format:
```
4
Lattice="-1.644 1.644 3.883 1.644 -1.644 3.883 1.644 1.644 -3.883" Properties=species:S:1:pos:R:3 pbc="T T T"
Be 0.000 0.000 0.000
Be 0.000 1.644 1.942
Al 1.644 0.000 1.942
Cr 0.000 0.000 3.883
```

## Properties
Total magnetization ... 1.0 Bohr magnetons per cell
Total energy ... -34.9 eV per cell
N(E_F) ... 1.16 states/eV/f.u.

---

[4]
The following is a SCAN calculation of a PBEsol-optimized structure of BeAl2Cr, from Alexandria.

The structure in extended XYZ format:
```
4
Lattice="-1.775 1.775 3.868 1.775 -1.775 3.868 1.775 1.775 -3.868" Properties=species:S:1:pos:R:3 pbc="T T T"
Be 0.000 0.000 0.000
Al 1.775 0.000 1.934
Al 0.000 1.775 1.934
Cr 0.000 0.000 3.868
```

## Properties
Total magnetization ... 0.0 Bohr magnetons per cell
Total energy ... -38.6 eV per cell
N(E_F) ... 0.37 states/eV/f.u.

---

[5]
The following is a SCAN calculation of a PBEsol-optimized structure of Be2AlCr, from Alexandria.

The structure in extended XYZ format:
```
4
Lattice="1.277 0.737 7.900 -1.277 0.737 7.900 0.000 -1.475 7.900" Properties=species:S:1:pos:R:3 pbc="T T T"
Be 0.000 0.000 5.831
Be 0.000 0.000 17.868
Al 0.000 0.000 0.000
Cr 0.000 0.000 11.849
```

## Properties
Total magnetization ... 0.0 Bohr magnetons per cell
Total energy ... -33.7 eV per cell
N(E_F) ... 1.46 states/eV/f.u.

---

[6]
The following is a SCAN calculation of a PBEsol-optimized structure of Be3AlCr, from Alexandria.

The structure in extended XYZ format:
```
5
Lattice="4.167 0.000 0.000 0.000 4.167 0.000 0.000 0.000 4.167" Properties=species:S:1:pos:R:3 pbc="T T T"
Be 0.000 0.000 2.084
Be 0.000 2.084 0.000
Be 2.084 0.000 0.000
Al 0.000 0.000 0.000
Cr 2.084 2.084 2.084
```

## Properties
Total magnetization ... 4.2 Bohr magnetons per cell
Total energy ... -33.6 eV per cell
N(E_F) ... 1.96 states/eV/f.u.

---

[7]
The following is a SCAN calculation of a PBEsol-optimized structure of BeAlCu2, from Alexandria.

The structure in extended XYZ format:
```
4
Lattice="-1.755 1.755 3.649 1.755 -1.755 3.649 1.755 1.755 -3.649" Properties=species:S:1:pos:R:3 pbc="T T T"
Be 0.000 0.000 0.000
Al 1.755 0.000 1.824
Cu 0.000 0.000 3.649
Cu 0.000 1.755 1.824
```

## Properties
Total magnetization ... 0.0 Bohr magnetons per cell
Total energy ... -43.3 eV per cell
N(E_F) ... 1.06 states/eV/f.u.

---

[8]
The following is a SCAN calculation of a PBEsol-optimized structure of Be4AlCu, from Alexandria.

The structure in extended XYZ format:
```
6
Lattice="0.000 3.044 3.044 3.044 0.000 3.044 3.044 3.044 0.000" Properties=species:S:1:pos:R:3 pbc="T T T"
Be 0.762 0.762 0.762
Be 2.282 2.282 0.762
Be 2.282 0.762 2.282
Be 0.762 2.282 2.282
Al 4.566 4.566 4.566
Cu 3.044 3.044 3.044
```

## Properties
Total magnetization ... 0.0 Bohr magnetons per cell
Total energy ... -41.0 eV per cell
N(E_F) ... 0.94 states/eV/f.u.

---

[9]
The following is a SCAN calculation of a PBEsol-optimized structure of BeAlCu2, from Alexandria.

The structure in extended XYZ format:
```
4
Lattice="2.794 0.000 0.000 0.000 2.794 0.000 0.000 0.000 5.709" Properties=species:S:1:pos:R:3 pbc="T T T"
Be 0.000 0.000 0.000
Al 0.000 0.000 2.855
Cu 1.397 1.397 1.255
Cu 1.397 1.397 4.454
```

## Properties
Total magnetization ... 0.0 Bohr magnetons per cell
Total energy ... -43.6 eV per cell
N(E_F) ... 0.71 states/eV/f.u.

---

[10]
The following is a SCAN calculation of a PBEsol-optimized structure of BeAlCu2, from Alexandria.

The structure in extended XYZ format:
```
4
Lattice="-1.462 1.954 3.929 1.462 -1.954 3.929 1.462 1.954 -3.929" Properties=species:S:1:pos:R:3 pbc="T T T"
Be 0.000 0.000 0.000
Al 0.000 1.954 1.889
Cu 1.462 0.000 1.751
Cu 0.000 0.000 3.769
```

## Properties
Total magnetization ... 0.0 Bohr magnetons per cell
Total energy ... -43.4 eV per cell
N(E_F) ... 0.64 states/eV/f.u.

---

[11]
The following is a SCAN calculation of a PBEsol-optimized structure of BeAlCu, from Alexandria.

The structure in extended XYZ format:
```
3
Lattice="-1.486 1.486 3.884 1.486 -1.486 3.884 1.486 1.486 -3.884" Properties=species:S:1:pos:R:3 pbc="T T T"
Be 0.000 0.000 0.000
Al 0.000 0.000 2.506
Cu 0.000 0.000 4.991
```

## Properties
Total magnetization ... 0.0 Bohr magnetons per cell
Total energy ... -27.6 eV per cell
N(E_F) ... 0.47 states/eV/f.u.

---

[12]
The following is a SCAN calculation of a PBEsol-optimized structure of BeAlCu2, from Alexandria.

The structure in extended XYZ format:
```
4
Lattice="-1.472 1.990 3.832 1.472 -1.990 3.832 1.472 1.990 -3.832" Properties=species:S:1:pos:R:3 pbc="T T T"
Be 0.000 0.000 0.000
Al 0.000 0.000 3.832
Cu 1.472 0.000 1.769
Cu 0.000 1.990 2.063
```

## Properties
Total magnetization ... 0.0 Bohr magnetons per cell
Total energy ... -43.2 eV per cell
N(E_F) ... 0.61 states/eV/f.u.